VASP calculation (PBE-GGA) on a relaxed HoEr2Se crystal.

```
HoEr2Se
1.0
3.750 0.000 0.000
1.875 3.247 0.000
1.875 1.082 9.328
Se Er Ho
1 2 1
direct
0.667 0.667 0.000 Se
0.067 0.067 0.800 Er
0.267 0.267 0.199 Er
0.500 0.500 0.501 Ho
```

The value obtained for the formation energy without anion corrections is -0.80 eV per atom. For the total DFT energy (no corrections), the calculation gives -20.37 eV/f.u.